No. 1
The following is a DFT calculation (PBE) of Sm5InAg4 after structural relaxation.

Cell lengths 3.6977, 3.6977, 19.0581 Å; angles 90.00, 90.00, 90.00 degrees
Sites, in units of the cell vectors:
In  0.0000  0.0000  0.0000
Sm  0.5000  0.5000  0.5000
Sm  0.5000  0.5000  0.1068
Sm  0.5000  0.5000  0.3034
Sm  0.5000  0.5000  0.6966
Sm  0.5000  0.5000  0.8932
Ag  0.0000  0.0000  0.5977
Ag  0.0000  0.0000  0.2055
Ag  0.0000  0.0000  0.7945
Ag  0.0000  0.0000  0.4023

Computed properties:
- spin magnetization (μB/atom) = 0.000
- DFT formation energy (eV/atom) = -0.320
- space-group type = P4/mmm
- DOS(E_F) (states/eV per cell) = 8.26
- VASP energy (eV/atom) = -4.09


No. 2
The following is a DFT calculation (PBE) of SmIn3Ag after structural relaxation.

Cell lengths 4.9383, 7.7795, 7.0587 Å; angles 103.82, 90.00, 108.51 degrees
Sites, in units of the cell vectors:
In  0.2891  0.5783  0.7286
In  0.3372  0.6743  0.3156
In  0.6628  0.3257  0.6844
In  0.0837  0.1674  0.4118
In  0.7109  0.4217  0.2714
In  0.9163  0.8326  0.5882
Ag  0.4863  0.9727  0.7968
Ag  0.5137  0.0273  0.2032
Sm  0.1245  0.2490  0.9557
Sm  0.8755  0.7510  0.0443

Computed properties:
- spin magnetization (μB/atom) = 0.000
- DFT formation energy (eV/atom) = -0.262
- space-group type = C2/m
- DOS(E_F) (states/eV per cell) = 4.04
- VASP energy (eV/atom) = -3.42


No. 3
The following is a DFT calculation (PBE) of Sm3In2Ag3 after structural relaxation.

Cell lengths 3.8230, 5.2451, 10.6333 Å; angles 104.28, 100.36, 90.00 degrees
Sites, in units of the cell vectors:
Sm  0.5000  0.0000  0.0000
Sm  0.3703  0.3703  0.7406
Sm  0.6297  0.6297  0.2594
Ag  0.1214  0.1214  0.2427
Ag  0.0000  0.5000  0.0000
Ag  0.8786  0.8786  0.7573
In  0.2649  0.7649  0.5298
In  0.7351  0.2351  0.4702

Computed properties:
- spin magnetization (μB/atom) = 0.000
- DFT formation energy (eV/atom) = -0.259
- space-group type = Immm
- DOS(E_F) (states/eV per cell) = 6.25
- VASP energy (eV/atom) = -3.78


No. 4
The following is a DFT calculation (PBE) of Sm2InAg6 after structural relaxation.

Cell lengths 5.9582, 6.2294, 6.2294 Å; angles 60.00, 90.00, 90.00 degrees
Sites, in units of the cell vectors:
In  0.0000  0.0000  0.0000
Ag  0.6683  0.1833  0.6334
Ag  0.3317  0.8167  0.3666
Ag  0.3317  0.3666  0.8167
Ag  0.6683  0.6334  0.1833
Ag  0.6683  0.1833  0.1833
Ag  0.3317  0.8167  0.8167
Sm  0.1561  0.3333  0.3333
Sm  0.8439  0.6667  0.6667

Computed properties:
- spin magnetization (μB/atom) = 0.000
- DFT formation energy (eV/atom) = -0.198
- space-group type = P-3m1
- DOS(E_F) (states/eV per cell) = 5.42
- VASP energy (eV/atom) = -3.45


No. 5
The following is a DFT calculation (PBE) of SmInAg2 after structural relaxation.

Cell lengths 5.0094, 5.0094, 5.0094 Å; angles 60.00, 60.00, 60.00 degrees
Sites, in units of the cell vectors:
Sm  0.5000  0.5000  0.5000
In  0.0000  0.0000  0.0000
Ag  0.2500  0.2500  0.2500
Ag  0.7500  0.7500  0.7500

Computed properties:
- spin magnetization (μB/atom) = 0.000
- DFT formation energy (eV/atom) = -0.364
- space-group type = Fm-3m
- energy above the most stable polymorph in this dataset (meV per atom) = 0.0
- DOS(E_F) (states/eV per cell) = 2.50
- VASP energy (eV/atom) = -3.65


No. 6
The following is a DFT calculation (PBE) of Sm3InAg after structural relaxation.

Cell lengths 8.3641, 8.3641, 11.1596 Å; angles 88.04, 88.04, 48.71 degrees
Sites, in units of the cell vectors:
Sm  0.2671  0.8370  0.9236
Sm  0.8370  0.2671  0.4236
Sm  0.2213  0.1525  0.6756
Sm  0.4035  0.3546  0.8323
Sm  0.3546  0.4035  0.3323
Sm  0.6454  0.5965  0.6677
Sm  0.8475  0.7787  0.8244
Sm  0.5965  0.6454  0.1677
Sm  0.1525  0.2213  0.1756
Sm  0.7329  0.1630  0.0764
Sm  0.1630  0.7329  0.5764
Sm  0.7787  0.8475  0.3244
Ag  0.5000  0.0000  0.0000
Ag  0.1242  0.8758  0.2500
Ag  0.8758  0.1242  0.7500
Ag  0.0000  0.5000  0.5000
In  0.3837  0.8805  0.4215
In  0.8805  0.3837  0.9215
In  0.1195  0.6163  0.0785
In  0.6163  0.1195  0.5785

Computed properties:
- spin magnetization (μB/atom) = 0.000
- DFT formation energy (eV/atom) = -0.183
- space-group type = C2/c
- energy above the most stable polymorph in this dataset (meV per atom) = 90.8
- DOS(E_F) (states/eV per cell) = 19.05
- VASP energy (eV/atom) = -4.13


No. 7
The following is a DFT calculation (PBE) of Sm4InAg7 after structural relaxation.

Cell lengths 5.1662, 8.6321, 7.8116 Å; angles 67.33, 70.69, 72.59 degrees
Sites, in units of the cell vectors:
Ag  0.5000  0.0000  0.0000
Ag  0.0867  0.6247  0.2020
Ag  0.1979  0.9884  0.6158
Ag  0.6878  0.4539  0.1706
Ag  0.3122  0.5461  0.8294
Ag  0.8021  0.0116  0.3842
Ag  0.9133  0.3753  0.7980
Sm  0.7321  0.7553  0.7805
Sm  0.2679  0.2447  0.2195
Sm  0.5600  0.2645  0.6155
Sm  0.4400  0.7355  0.3845
In  0.0000  0.0000  0.0000

Computed properties:
- spin magnetization (μB/atom) = 0.000
- DFT formation energy (eV/atom) = -0.140
- space-group type = C2/m
- DOS(E_F) (states/eV per cell) = 7.83
- VASP energy (eV/atom) = -3.60


No. 8
The following is a DFT calculation (PBE) of Sm4InAg after structural relaxation.

Cell lengths 3.6931, 3.6931, 13.0359 Å; angles 90.00, 90.00, 90.00 degrees
Site moments in Bohr magnetons follow the coordinates.
Sites, in units of the cell vectors:
Sm  0.0000  0.0000  0.3552  0.18
Sm  0.5000  0.5000  0.8409  0.18
Sm  0.0000  0.0000  0.6448  0.18
Sm  0.5000  0.5000  0.1591  0.18
Ag  0.5000  0.5000  0.5000  0.01
In  0.0000  0.0000  0.0000  0.00

Computed properties:
- spin magnetization (μB/atom) = 0.253
- DFT formation energy (eV/atom) = -0.227
- space-group type = P4/mmm
- energy above the most stable polymorph in this dataset (meV per atom) = 0.0
- DOS(E_F) (states/eV per cell) = 6.32
- VASP energy (eV/atom) = -4.30


No. 9
The following is a DFT calculation (PBE) of Sm4InAg5 after structural relaxation.

Cell lengths 3.7298, 3.7298, 17.7868 Å; angles 90.00, 90.00, 90.00 degrees
Sites, in units of the cell vectors:
Sm  0.0000  0.0000  0.1886
Sm  0.0000  0.0000  0.6049
Sm  0.0000  0.0000  0.3951
Sm  0.0000  0.0000  0.8114
Ag  0.5000  0.5000  0.5000
Ag  0.5000  0.5000  0.2913
Ag  0.5000  0.5000  0.0908
Ag  0.5000  0.5000  0.9092
Ag  0.5000  0.5000  0.7087
In  0.0000  0.0000  0.0000

Computed properties:
- spin magnetization (μB/atom) = 0.000
- DFT formation energy (eV/atom) = -0.239
- space-group type = P4/mmm
- DOS(E_F) (states/eV per cell) = 7.25
- VASP energy (eV/atom) = -3.83


No. 10
The following is a DFT calculation (PBE) of Sm3InAg4 after structural relaxation.

Cell lengths 3.5480, 6.3838, 9.8688 Å; angles 108.87, 100.36, 90.00 degrees
Sites, in units of the cell vectors:
Sm  0.2256  0.2256  0.4512
Sm  0.0000  0.5000  0.0000
Sm  0.7744  0.7744  0.5488
Ag  0.3764  0.6002  0.7527
Ag  0.6236  0.8474  0.2473
Ag  0.6236  0.3998  0.2473
Ag  0.3764  0.1526  0.7527
In  0.5000  0.0000  0.0000

Computed properties:
- spin magnetization (μB/atom) = 0.000
- DFT formation energy (eV/atom) = -0.131
- space-group type = Immm
- DOS(E_F) (states/eV per cell) = 4.13
- VASP energy (eV/atom) = -3.67


No. 11
The following is a DFT calculation (PBE) of Sm6In2Ag after structural relaxation.

Cell lengths 5.1492, 10.1830, 10.1822 Å; angles 90.00, 90.00, 90.00 degrees
Sites, in units of the cell vectors:
Sm  0.5001  0.5205  0.3200
Sm  0.4999  0.4795  0.6800
Sm  0.9998  0.3758  0.1243
Sm  0.0002  0.6800  0.5204
Sm  0.0001  0.9795  0.8200
Sm  0.5002  0.8200  0.0204
Sm  0.9999  0.0205  0.1800
Sm  0.9998  0.3200  0.4796
Sm  0.4998  0.1800  0.9796
Sm  0.4998  0.1242  0.6243
Sm  0.0002  0.6242  0.8757
Sm  0.5002  0.8758  0.3757
Ag  0.0000  0.0000  0.5000
Ag  0.5000  0.5000  0.0000
In  0.5002  0.7999  0.6999
In  0.0002  0.7001  0.2000
In  0.4998  0.2001  0.3001
In  0.9998  0.2999  0.8000

Computed properties:
- spin magnetization (μB/atom) = 0.000
- DFT formation energy (eV/atom) = -0.260
- space-group type = P4_2/mnm
- DOS(E_F) (states/eV per cell) = 21.75
- VASP energy (eV/atom) = -4.33


No. 12
The following is a DFT calculation (PBE) of Sm3In4Ag4 after structural relaxation.

Cell lengths 4.5787, 7.4935, 8.9817 Å; angles 114.66, 104.77, 90.00 degrees
Sites, in units of the cell vectors:
Sm  0.0000  0.5000  0.0000
Sm  0.1242  0.1242  0.2485
Sm  0.8758  0.8758  0.7515
Ag  0.5000  0.8108  0.0000
Ag  0.5000  0.1892  0.0000
Ag  0.2165  0.7165  0.4330
Ag  0.7835  0.2835  0.5670
In  0.6690  0.8692  0.3380
In  0.3310  0.5311  0.6620
In  0.3310  0.1308  0.6620
In  0.6690  0.4689  0.3380

Computed properties:
- spin magnetization (μB/atom) = 0.000
- DFT formation energy (eV/atom) = -0.306
- space-group type = Immm
- energy above the most stable polymorph in this dataset (meV per atom) = 21.3
- DOS(E_F) (states/eV per cell) = 8.25
- VASP energy (eV/atom) = -3.63